Below is crystalline AcMg2As2Pd7 at its relaxed geometry, with properties calculated at the PBE level.

- VASP energy (eV per atom) = -4.93
- SG = No. 65

abc: 4.2366 4.2366 13.5669
angles: 71.69 71.69 89.57
With the nearest neighbours (Å) after each atom.
Positions (direct):
Ac (0.0000, 0.0000, 0.0000)  12 Pd 2.98-3.10
Mg (0.6652, 0.6652, 0.3347)  6 Pd 2.61-2.79
Mg (0.3348, 0.3348, 0.6653)  6 Pd 2.61-2.79
As (0.8110, 0.8110, 0.6883)  6 Pd 2.61-2.66
As (0.1890, 0.1890, 0.3117)  6 Pd 2.61-2.66
Pd (0.5000, 0.5000, 0.0000)  4 Ac 2.98-3.01, 8 Pd 3.10
Pd (0.2243, 0.2243, 0.5000)  2 Mg 2.61, 2 As 2.66, 1 Pd 2.70
Pd (0.7757, 0.7757, 0.5000)  2 Mg 2.61, 2 As 2.66, 1 Pd 2.70
Pd (0.8146, 0.3145, 0.1858)  2 As 2.61-2.62, 2 Mg 2.79
Pd (0.3145, 0.8146, 0.1858)  2 As 2.61-2.62, 2 Mg 2.79
Pd (0.6855, 0.1854, 0.8142)  2 As 2.61-2.62, 2 Mg 2.79
Pd (0.1854, 0.6855, 0.8142)  2 As 2.61-2.62, 2 Mg 2.79


Below is crystalline Pm3Pa3NbN8 at its relaxed geometry, with properties calculated at the PBE level.

- VASP energy (eV per atom) = -9.39
- SG = No. 166
- formation energy from raw total energies (eV per formula unit) = -21.49

abc: 6.9319 6.9320 6.9936
angles: 119.71 90.00 120.00
With the nearest neighbours (Å) after each atom.
Positions (direct):
Pm (0.0000, 0.0000, 0.0000)  6 N 2.56-2.59
Pm (0.0000, 0.5000, 0.0000)  6 N 2.56-2.59
Pm (0.5000, 0.5000, 0.0000)  6 N 2.56-2.59
Pa (0.5000, 0.0000, 0.5000)  6 N 2.36-2.37
Pa (0.5000, 0.5000, 0.5000)  6 N 2.36-2.37
Pa (0.0000, 0.5000, 0.5000)  6 N 2.36-2.37
Nb (0.0000, 0.0000, 0.5000)  6 N 2.21
N (0.2592, 0.5185, 0.2778)  3 Pa 2.37, 3 Pm 2.56
N (0.7408, 0.4815, 0.7222)  3 Pa 2.37, 3 Pm 2.56
N (0.7760, 0.5520, 0.2992)  1 Nb 2.21, 2 Pa 2.36
N (0.2240, 0.4480, 0.7008)  1 Nb 2.21, 2 Pa 2.36
N (0.7760, 0.0232, 0.2991)  1 Nb 2.21, 2 Pa 2.36
N (0.2240, 0.9768, 0.7009)  1 Nb 2.21, 2 Pa 2.36
N (0.2472, 0.0232, 0.2991)  1 Nb 2.21, 2 Pa 2.36
N (0.7528, 0.9768, 0.7009)  1 Nb 2.21, 2 Pa 2.36


Below is crystalline DyScTe2 at its relaxed geometry, with properties calculated at the PBE level.

- VASP energy (eV per atom) = -5.06
- SG = No. 166
- formation energy from raw total energies (eV per formula unit) = -3.04
- energy above the lowest structure with this stoichiometry (eV per formula unit) = 1.90

abc: 4.2172 4.2172 9.6311
angles: 77.35 77.35 60.00
With the nearest neighbours (Å) after each atom.
Positions (direct):
Sc (0.0000, 0.0000, 0.0000)  2 Te 2.83
Te (0.1011, 0.1011, 0.6968)  1 Sc 2.83, 3 Dy 3.05
Te (0.8989, 0.8989, 0.3032)  1 Sc 2.83, 3 Dy 3.05
Dy (0.5000, 0.5000, 0.5000)  6 Te 3.05


Below is crystalline ZnIrRh3 at its relaxed geometry, with properties calculated at the PBE level.

- VASP energy (eV per atom) = -6.24
- SG = No. 11
- energy above the lowest structure with this stoichiometry (eV per formula unit) = 1.43

abc: 2.7109 6.9506 8.7491
angles: 90.00 90.00 101.32
With the nearest neighbours (Å) after each atom.
Positions (direct):
Zn (0.9505, 0.4032, 0.2500)  4 Rh 2.55-2.69, 2 Ir 2.69-2.70, 2 Zn 2.71
Zn (0.0495, 0.5968, 0.7500)  4 Rh 2.55-2.69, 2 Ir 2.69-2.70, 2 Zn 2.71
Ir (0.2813, 0.0616, 0.2500)  8 Rh 2.68-2.71, 2 Zn 2.69-2.70, 2 Ir 2.71
Ir (0.7187, 0.9384, 0.7500)  8 Rh 2.68-2.71, 2 Zn 2.69-2.70, 2 Ir 2.71
Rh (0.8370, 0.1725, 0.0002)  6 Rh 2.68-2.71, 3 Ir 2.68-2.71, 1 Zn 2.69
Rh (0.1630, 0.8275, 0.9998)  6 Rh 2.68-2.71, 3 Ir 2.68-2.71, 1 Zn 2.69
Rh (0.8370, 0.1725, 0.4998)  6 Rh 2.68-2.71, 3 Ir 2.68-2.71, 1 Zn 2.69
Rh (0.1630, 0.8275, 0.5002)  6 Rh 2.68-2.71, 3 Ir 2.68-2.71, 1 Zn 2.69
Rh (0.6093, 0.7198, 0.2500)  2 Zn 2.55, 6 Rh 2.68-2.71, 2 Ir 2.69-2.70
Rh (0.3907, 0.2802, 0.7500)  2 Zn 2.55, 6 Rh 2.68-2.71, 2 Ir 2.69-2.70